Entry 1:
# K2TbVO4, optimized geometry, DFT PBE with a Hubbard U
# Calculated total energy   -6.366 eV per atom
# Total moment   0.087 μB per cell
data_K2TbVO4
_chemical_formula_sum 'K4 Tb2 V2 O8'
_cell_length_a 6.135
_cell_length_b 6.135
_cell_length_c 7.421
_cell_angle_alpha 90.00
_cell_angle_beta 90.00
_cell_angle_gamma 90.00
_space_group_name_H-M_alt 'I -4'
_space_group_IT_number 82
_space_group_name_Hall 'I -4'
loop_
_atom_site_label
_atom_site_fract_x
_atom_site_fract_y
_atom_site_fract_z
K1 0.000 0.000 0.000
K2 0.000 0.500 0.250
Tb1 0.000 0.000 0.500
V1 0.000 0.500 0.750
O1 0.147 0.757 0.677


Entry 2:
# K3Tb3VO8, optimized geometry, DFT PBE with a Hubbard U
# Calculated total energy   -6.884 eV per atom
# Total moment   2.000 μB per cell
data_K3Tb3VO8
_chemical_formula_sum 'K6 Tb6 V2 O16'
_cell_length_a 11.698
_cell_length_b 6.780
_cell_length_c 7.406
_cell_angle_alpha 90.00
_cell_angle_beta 121.96
_cell_angle_gamma 90.00
_space_group_name_H-M_alt 'C 1 2/m 1'
_space_group_IT_number 12
_space_group_name_Hall '-C 2y'
loop_
_atom_site_label
_atom_site_fract_x
_atom_site_fract_y
_atom_site_fract_z
K1 0.000 0.000 0.000
K2 0.250 0.250 0.000
Tb1 0.000 0.500 0.500
Tb2 0.250 0.250 0.500
V1 0.000 0.000 0.500
O1 0.018 0.225 0.330
O2 0.202 0.000 0.667
O3 0.229 0.500 0.686


Entry 3:
# K3Tb3WO8, optimized geometry, DFT PBE with a Hubbard U
# Calculated total energy   -6.883 eV per atom
# Total moment   4.000 μB per cell
data_K3Tb3WO8
_chemical_formula_sum 'K6 Tb6 W2 O16'
_cell_length_a 11.859
_cell_length_b 6.890
_cell_length_c 7.438
_cell_angle_alpha 90.00
_cell_angle_beta 122.18
_cell_angle_gamma 90.00
_space_group_name_H-M_alt 'C 1 2/m 1'
_space_group_IT_number 12
_space_group_name_Hall '-C 2y'
loop_
_atom_site_label
_atom_site_fract_x
_atom_site_fract_y
_atom_site_fract_z
K1 0.000 0.000 0.000
K2 0.250 0.250 0.000
Tb1 0.000 0.500 0.500
Tb2 0.250 0.250 0.500
W1 0.000 0.000 0.500
O1 0.020 0.234 0.327
O2 0.210 0.000 0.673
O3 0.229 0.500 0.683


Entry 4:
# KTbW2O8, optimized geometry, DFT PBE with a Hubbard U
# Calculated total energy   -7.420 eV per atom
# Total moment   0.000 μB per cell
data_KTbW2O8
_chemical_formula_sum 'K4 Tb4 W8 O32'
_cell_length_a 11.012
_cell_length_b 10.679
_cell_length_c 7.467
_cell_angle_alpha 90.00
_cell_angle_beta 130.54
_cell_angle_gamma 90.00
_space_group_name_H-M_alt 'C 1 2/c 1'
_space_group_IT_number 15
_space_group_name_Hall '-C 2yc'
loop_
_atom_site_label
_atom_site_fract_x
_atom_site_fract_y
_atom_site_fract_z
K1 0.000 0.211 0.250
Tb1 0.000 0.225 0.750
W1 0.196 0.495 0.715
O1 0.017 0.390 0.966
O2 0.134 0.094 0.689
O3 0.188 0.436 0.443
O4 0.211 0.154 0.123


Which value of calculated total energy does entry 3 give?
-6.883 eV per atom


The lowest total moment belongs to which entry?
KTbW2O8